A plane-wave DFT calculation with PBE+U was carried out for a relaxed structure of CrNiP2O8.

Results
Size of the total moment: 3.997 μB per formula unit
Crystal system: tetragonal
Volume: 241.92 Å³ per cell
Density of states at the Fermi level: 4.29 states/eV/f.u.
Offset from the most stable computed form: 0.184 eV/atom

Cell: 6.4103 6.4103 5.8873 Å, 90.00 90.00 90.00°
Space group I-4m2 (No. 119)
One atom of each set of equivalent atoms:
Cr: 0.0000 0.0000 0.0000 [2 per cell]
Ni: 0.0000 0.5000 0.2500 [2 per cell]
P: 0.0000 0.0000 0.5000 [2 per cell]
P: 0.0000 0.5000 0.7500 [2 per cell]
O: 0.0000 0.1815 0.3259 [8 per cell]
O: 0.0000 0.3131 0.9180 [8 per cell]